DFT (PBE) results for crystalline Be2FeAg at its relaxed geometry.

Unit cell a=2.8242 b=4.3792 c=7.6498 alpha=90.00 beta=90.00 gamma=90.00
Last column: nearest neighbours and their distance in Å.
Space group Immm (No. 71)
Unique sites:
Be: 0.0000 0.0000 0.2406 x4  2 Fe 2.32, 2 Ag 2.44
Fe: 0.0000 0.5000 0.5000 x2  4 Be 2.32
Ag: 0.0000 0.5000 0.0000 x2  4 Be 2.44, 4 Fe 2.61

Summary:
ρ = 6.379 g/cm³
Uncorrected energy = -4.338 eV/atom